Entry 1:
VASP calculation (PBE) on crystalline PmPr2Nd3 at its relaxed geometry.

Density in Mg/m³: 6.6
Offset from the most stable computed form in meV per atom: 226.2
Magnetic moment in Bohr magnetons per cell: 0.00
Symmetry: No. 58
Calculated formation energy in eV/atom: 0.236

```
PmPr2Nd3
1.0
-3.122 -1.198 -0.942
1.445 -6.051 2.909
-6.972 5.859 15.653
Pm Pr Nd
2 4 6
direct
0.000 0.000 0.500
0.500 0.500 0.000
0.500 0.769 0.152
0.000 0.269 0.348
0.000 0.731 0.652
0.500 0.231 0.848
0.000 0.000 0.000
0.500 0.500 0.500
0.500 0.737 0.822
0.500 0.263 0.178
0.000 0.237 0.678
0.000 0.763 0.322
```


Entry 2:
VASP calculation (PBE) on crystalline Pm6Pr5Nd2 at its relaxed geometry.

Density in Mg/m³: 6.7
Magnetic moment in Bohr magnetons per cell: 0.00
Symmetry: No. 55
Calculated formation energy in eV/atom: 0.087

```
Pm6Pr5Nd2
1.0
3.684 0.000 0.000
0.000 11.972 0.000
0.000 0.000 21.033
Pm Pr Nd
12 10 4
direct
0.000 0.076 0.365
0.000 0.924 0.635
0.000 0.576 0.135
0.000 0.424 0.865
0.500 0.320 0.131
0.500 0.680 0.869
0.500 0.820 0.369
0.500 0.180 0.631
0.000 0.562 0.423
0.000 0.438 0.577
0.000 0.062 0.077
0.000 0.938 0.923
0.500 0.300 0.445
0.500 0.700 0.555
0.500 0.800 0.055
0.500 0.200 0.945
0.500 0.582 0.278
0.500 0.418 0.722
0.500 0.082 0.222
0.500 0.918 0.778
0.500 0.500 0.000
0.500 0.000 0.500
0.000 0.325 0.284
0.000 0.675 0.716
0.000 0.825 0.216
0.000 0.175 0.784
```


Entry 3:
VASP calculation (PBE) on crystalline Pm2Pr3Nd2 at its relaxed geometry.

Density in Mg/m³: 6.7
Offset from the most stable computed form in meV per atom: 0.0
Magnetic moment in Bohr magnetons per cell: 0.00
Symmetry: No. 2
Calculated formation energy in eV/atom: 0.015

```
Pm2Pr3Nd2
1.0
6.236 0.501 -1.296
0.577 6.365 0.020
0.123 1.038 6.309
Pm Pr Nd
2 3 2
direct
0.858 0.571 0.715
0.142 0.429 0.285
0.000 0.000 0.000
0.714 0.144 0.429
0.286 0.856 0.571
0.572 0.713 0.143
0.428 0.287 0.857
```


Entry 4:
VASP calculation (PBE) on crystalline PmPr2Nd6 at its relaxed geometry.

Density in Mg/m³: 6.8
Offset from the most stable computed form in meV per atom: 0.0
Magnetic moment in Bohr magnetons per cell: 0.00
Symmetry: No. 65
Calculated formation energy in eV/atom: 0.048

```
PmPr2Nd6
1.0
3.546 0.480 0.219
-0.923 8.917 -4.595
2.992 -0.073 10.299
Pm Pr Nd
1 2 6
direct
0.000 0.000 0.000
0.333 0.333 0.667
0.667 0.667 0.333
0.832 0.001 0.668
0.168 0.333 0.332
0.168 0.999 0.332
0.500 0.332 0.000
0.832 0.667 0.668
0.500 0.668 0.000
```